Computed, not measured: a geometry-optimized Cd2ReS2 structure at the PBE level of DFT.

## Properties
raw formation energy = 0.753 eV per atom
symmetry = I4/mmm
offset from the most stable computed form = 0.000 eV/atom

Lattice parameters (Å, degrees): 3.257 3.257 9.625 80.26 80.26 90.00
Last column: magnetic moment on the atom in μB.
Positions (direct):
S1 0.750 0.250 0.500  0.00
S2 0.250 0.750 0.500  0.00
Re1 0.000 0.000 0.000  1.06
Cd1 0.407 0.407 0.186  0.00
Cd2 0.593 0.593 0.814  0.00

=====

Computed, not measured: a geometry-optimized Pm2Er2Tl7 structure at the PBE level of DFT.

## Properties
final energy = -3.143 eV per atom
symmetry = Cmmm

Lattice parameters (Å, degrees): 6.883 7.911 6.883 90.00 104.28 90.00
Positions (direct):
Tl1 0.500 0.705 0.500
Tl2 0.500 0.295 0.500
Tl3 0.500 0.702 0.000
Tl4 0.500 0.298 0.000
Tl5 0.000 0.000 0.000
Tl6 0.000 0.702 0.500
Tl7 0.000 0.298 0.500
Er1 0.806 0.500 0.806
Er2 0.194 0.500 0.194
Pm1 0.304 0.000 0.696
Pm2 0.696 0.000 0.304

=====

Computed, not measured: a geometry-optimized ThZr3Sc6 structure at the PBE level of DFT.

## Properties
final energy = -6.857 eV per atom
symmetry = Cmc2_1

Lattice parameters (Å, degrees): 6.295 8.963 8.963 91.08 90.00 90.00
Positions (direct):
Sc1 0.801 0.931 0.520
Sc2 0.716 0.281 0.483
Sc3 0.716 0.517 0.719
Sc4 0.301 0.069 0.480
Sc5 0.997 0.789 0.211
Sc6 0.216 0.719 0.517
Sc7 0.801 0.480 0.069
Sc8 0.244 0.003 0.997
Sc9 0.301 0.520 0.931
Sc10 0.744 0.997 0.003
Sc11 0.497 0.211 0.789
Sc12 0.216 0.483 0.281
Zr1 0.987 0.766 0.828
Zr2 0.487 0.234 0.172
Zr3 0.487 0.828 0.766
Zr4 0.987 0.172 0.234
Zr5 0.736 0.594 0.406
Zr6 0.236 0.406 0.594
Th1 0.002 0.206 0.794
Th2 0.502 0.794 0.206

=====

Computed, not measured: a geometry-optimized LiNiMoRu structure at the PBE level of DFT.

## Properties
final energy = -6.873 eV per atom
symmetry = F-43m

Lattice parameters (Å, degrees): 4.210 4.210 4.210 60.00 60.00 60.00
Positions (direct):
Ni1 0.250 0.250 0.250
Mo1 0.000 0.000 0.000
Ru1 0.750 0.750 0.750
Li1 0.500 0.500 0.500

=====

Computed, not measured: a geometry-optimized BaLiLa2 structure at the PBE level of DFT.

## Properties
symmetry = Cmmm
offset from the most stable computed form = 0.145 eV/atom

Lattice parameters (Å, degrees): 3.678 3.678 12.033 90.00 90.00 110.01
Positions (direct):
La1 0.000 0.000 0.033
La2 0.000 0.000 0.467
Li1 0.500 0.500 0.250
Ba1 0.500 0.500 0.750

=====

Computed, not measured: a geometry-optimized Er3ScAs4 structure at the PBE level of DFT.

## Properties
symmetry = Cmmm
offset from the most stable computed form = 0.000 eV/atom

Lattice parameters (Å, degrees): 4.038 6.987 6.987 109.47 90.00 90.00
Positions (direct):
As1 0.000 0.242 0.242
As2 0.500 0.246 0.754
As3 0.500 0.754 0.246
As4 0.000 0.758 0.758
Sc1 0.500 0.000 0.000
Er1 0.000 0.500 0.000
Er2 0.000 0.000 0.500
Er3 0.500 0.500 0.500

=====

Number 1: mass density 7.960 g/cm³. Number 2: mass density 9.394 g/cm³. Number 3: mass density 5.093 g/cm³. Number 4: mass density 8.267 g/cm³. Number 5: mass density 4.582 g/cm³. Number 6: mass density 7.563 g/cm³.